Record 1
! PBE Ca2AlCu, optimized geometry; values from VASP
! Theoretical density in Mg/m³: 2.9
&SYSTEM
  ibrav = 0, nat = 8, ntyp = 3
/
ATOMIC_SPECIES
Ca 40.08 Ca.upf
Al 26.98 Al.upf
Cu 63.55 Cu.upf
CELL_PARAMETERS angstrom
4.6702 -3.7110 0.0000
4.6702 3.7110 0.0000
0.0000 0.0000 5.7201
ATOMIC_POSITIONS crystal
Ca 0.0259 0.3304 0.2500
Ca 0.3304 0.0259 0.7500
Ca 0.6696 0.9741 0.2500
Ca 0.9741 0.6696 0.7500
Al 0.2230 0.7770 0.2500
Al 0.7770 0.2230 0.7500
Cu 0.5000 0.5000 0.0000
Cu 0.5000 0.5000 0.5000

Record 2
! PBE Tb2Mg2Cd, optimized geometry; values from VASP
! Theoretical density in Mg/m³: 6.1
! Energy above the most stable polymorph in this dataset in kJ per mole of atoms: 1.8
&SYSTEM
  ibrav = 0, nat = 5, ntyp = 3
/
ATOMIC_SPECIES
Tb 158.93 Tb.upf
Mg 24.30 Mg.upf
Cd 112.41 Cd.upf
CELL_PARAMETERS angstrom
2.4983 -7.7979 0.0000
2.4983 7.7979 0.0000
0.0000 0.0000 3.3536
ATOMIC_POSITIONS crystal
Tb 0.1081 0.8919 0.0000
Tb 0.8919 0.1081 0.0000
Mg 0.2995 0.7005 0.5000
Mg 0.7005 0.2995 0.5000
Cd 0.5000 0.5000 0.5000

Formation energy from the elements (meV per atom)
-153, -100
Calculated volume (Å³/f.u.)
99, 131